{"formula": "FeAgP2C", "functional": "PBE-GGA", "state": "relaxed", "lattice_angstrom": [[4.6793, 0.0000, 0.0000], [0.0000, 4.6793, 0.0000], [0.0000, 0.0000, 4.9066]], "species": ["Fe", "Ag", "P", "P", "C"], "frac_coords": [[0.0000, 0.0000, 0.0000], [0.0000, 0.0000, 0.5000], [0.0000, 0.5000, 0.5000], [0.5000, 0.0000, 0.5000], [0.5000, 0.5000, 0.0000]], "n_ef_per_ev_fu": 4.06, "formation_energy_kcal_per_mol_atoms": 58.75}



{"formula": "Pm2FeAgC", "functional": "PBE-GGA", "state": "relaxed", "lattice_angstrom": [[5.2030, 0.0000, 0.0000], [0.0000, 5.2030, 0.0000], [0.0000, 0.0000, 3.6926]], "species": ["Pm", "Pm", "Fe", "Ag", "C"], "frac_coords": [[0.0000, 0.5000, 0.0000], [0.5000, 0.0000, 0.0000], [0.0000, 0.0000, 0.5000], [0.5000, 0.5000, 0.5000], [0.0000, 0.0000, 0.0000]], "n_ef_per_ev_fu": 3.10, "formation_energy_kcal_per_mol_atoms": -5.01}



{"formula": "Pr2FeAgC", "functional": "PBE-GGA", "state": "relaxed", "lattice_angstrom": [[5.3123, 0.0000, 0.0000], [0.0000, 5.3123, 0.0000], [0.0000, 0.0000, 3.7034]], "species": ["Pr", "Pr", "Fe", "Ag", "C"], "frac_coords": [[0.0000, 0.5000, 0.0000], [0.5000, 0.0000, 0.0000], [0.0000, 0.0000, 0.5000], [0.5000, 0.5000, 0.5000], [0.0000, 0.0000, 0.0000]], "n_ef_per_ev_fu": 3.70, "formation_energy_kcal_per_mol_atoms": -3.66}



{"formula": "PrFeAgC", "functional": "PBE-GGA", "state": "relaxed", "lattice_angstrom": [[3.6281, 0.0000, 0.0000], [0.0000, 3.6281, 0.0000], [0.0000, 0.0000, 10.2803]], "species": ["Pr", "Pr", "Fe", "Fe", "Ag", "Ag", "C", "C"], "frac_coords": [[0.2500, 0.2500, 0.2275], [0.7500, 0.7500, 0.7725], [0.2500, 0.7500, 0.0000], [0.7500, 0.2500, 0.0000], [0.2500, 0.7500, 0.5000], [0.7500, 0.2500, 0.5000], [0.2500, 0.2500, 0.9200], [0.7500, 0.7500, 0.0800]], "n_ef_per_ev_fu": 2.16, "formation_energy_kcal_per_mol_atoms": -1.14}